Density functional theory data (PBE) for a relaxed Ac5PmIr4 crystal.

abc: 18.595 4.354 8.419
angles: 90.00 104.99 90.00
Space group C2/m (No. 12)
One atom of each set of equivalent atoms:
Ac  0.000  0.000  0.000 [2 per cell]
Ac  0.161  0.500  0.828 [4 per cell]
Ac  0.166  0.500  0.356 [4 per cell]
Pm  0.000  0.000  0.500 [2 per cell]
Ir  0.001  0.500  0.249 [4 per cell]
Ir  0.170  0.000  0.605 [4 per cell]

Properties
**Energy above the lowest structure with this stoichiometry**: 0 meV per atom